An optimized crystal structure of SrMg2Mo. Source: the Alexandria database, functional PBE.

Output
Final energy = -3.437 eV per atom
ΔE_f = 0.49 eV per atom
Energy above the lowest structure with this stoichiometry = 0.00 kJ per mole of atoms

a b c (Å): 3.0390 3.0390 10.0427
angles (deg): 90.00 90.00 90.02
Atoms (fractional coordinates):
Sr 0.5000 0.5000 0.7500
Mg 0.0000 0.0000 0.4547
Mo 0.5000 0.5000 0.2500
Mg 0.0000 0.0000 0.0453

---

An optimized crystal structure of CePrGe2. Source: the Alexandria database, functional PBE.

Output
Final energy = -5.631 eV per atom
ΔE_f = -0.64 eV per atom

a b c (Å): 4.3047 4.3047 7.3772
angles (deg): 73.04 73.04 60.00
Atoms (fractional coordinates):
Ge 0.7452 0.7452 0.7645
Pr 0.5000 0.5000 0.5000
Ce 0.0000 0.0000 0.0000
Ge 0.2548 0.2548 0.2355

---

An optimized crystal structure of AlSbP4. Source: the Alexandria database, functional PBE.

Output
Raw formation energy = 0.561 eV/atom
Final energy = -4.356 eV per atom

a b c (Å): 5.5380 5.5380 5.5380
angles (deg): 60.00 60.00 60.00
Atoms (fractional coordinates):
P 0.3541 0.3541 0.9376
P 0.3541 0.3541 0.3541
Al 0.0000 0.0000 0.0000
Sb 0.7500 0.7500 0.7500
P 0.9376 0.3541 0.3541
P 0.3541 0.9376 0.3541

---

An optimized crystal structure of K2NpInSe5. Source: the Alexandria database, functional PBE.

Output
Raw formation energy = -0.954 eV/atom
Final energy = -4.876 eV per atom

a b c (Å): 4.2043 9.8603 14.3772
angles (deg): 90.00 90.00 102.31
Last column: magnetic moment on the atom in μB.
Atoms (fractional coordinates):
Se 0.4991 0.9981 0.7769  -0.04
Np 0.2098 0.4197 0.0252  2.90
Se 0.3012 0.6024 0.3920  -0.11
K 0.8714 0.7428 0.8189  0.00
Se 0.0598 0.1196 0.0462  -0.07
Np 0.7902 0.5803 0.5252  2.90
Se 0.6559 0.3119 0.5052  -0.21
K 0.1102 0.2204 0.6791  0.00
In 0.5600 0.1200 0.9297  0.00
K 0.1286 0.2572 0.3189  0.00
Se 0.3441 0.6881 0.0052  -0.21
In 0.4400 0.8800 0.4297  0.00
K 0.8898 0.7796 0.1791  0.00
Se 0.9402 0.8804 0.5462  -0.07
Se 0.7109 0.4217 0.1506  -0.15
Se 0.6988 0.3976 0.8920  -0.11
Se 0.2891 0.5783 0.6506  -0.15
Se 0.5009 0.0019 0.2769  -0.04

---

An optimized crystal structure of RbU4Ag3Te12. Source: the Alexandria database, functional PBE.

Output
Raw formation energy = -0.385 eV/atom
Final energy = -5.004 eV per atom

a b c (Å): 9.6661 9.6661 9.6661
angles (deg): 109.47 109.47 109.47
Last column: magnetic moment on the atom in μB.
Atoms (fractional coordinates):
Te 0.1774 0.8669 0.6895  -0.09
Te 0.8226 0.1331 0.3105  -0.09
Te 0.4879 0.3105 0.1774  -0.09
Rb 0.0000 0.0000 0.0000  0.00
Te 0.3105 0.8226 0.1331  -0.09
U 0.5000 0.0000 0.0000  1.37
Te 0.6895 0.8226 0.5121  -0.09
Te 0.6895 0.1774 0.8669  -0.09
Te 0.1774 0.4879 0.3105  -0.09
Te 0.3105 0.1774 0.4879  -0.09
U 0.5000 0.5000 0.5000  1.37
U 0.0000 0.5000 0.0000  1.37
Ag 0.5000 0.0000 0.5000  -0.03
U 0.0000 0.0000 0.5000  1.37
Te 0.5121 0.6895 0.8226  -0.09
Te 0.8226 0.5121 0.6895  -0.09
Ag 0.0000 0.5000 0.5000  -0.03
Te 0.8669 0.6895 0.1774  -0.09
Te 0.1331 0.3105 0.8226  -0.09
Ag 0.5000 0.5000 0.0000  -0.03

---

An optimized crystal structure of TbHo3Tm5. Source: the Alexandria database, functional PBE.

Output
Final energy = -3.990 eV per atom
ΔE_f = 0.53 eV per atom
Energy above the lowest structure with this stoichiometry = 28.92 kJ per mole of atoms

a b c (Å): 9.3650 9.3650 11.4069
angles (deg): 52.80 52.80 73.40
Atoms (fractional coordinates):
Tm 0.3496 0.8510 0.2491
Tm 0.2613 0.7387 0.0000
Tm 0.5094 0.5094 0.7710
Tb 0.8519 0.8519 0.3992
Ho 0.0000 0.0000 0.0000
Tm 0.1490 0.6504 0.7509
Tm 0.1859 0.1859 0.0362
Ho 0.6571 0.6571 0.3654
Tm 0.8510 0.3496 0.2491
Ho 0.3022 0.3022 0.1879
Ho 0.0000 0.0000 0.5000
Tm 0.6504 0.1490 0.7509
Tm 0.4906 0.4906 0.2290
Tm 0.7387 0.2613 0.0000
Ho 0.6978 0.6978 0.8121
Ho 0.3429 0.3429 0.6345
Tm 0.8141 0.8141 0.9638
Tb 0.1481 0.1481 0.6008

---

An optimized crystal structure of Ac3Pm2Y3. Source: the Alexandria database, functional PBE.

Output
Final energy = -4.966 eV per atom
ΔE_f = 0.19 eV per atom

a b c (Å): 6.7963 10.1960 10.1960
angles (deg): 60.00 90.00 90.00
Atoms (fractional coordinates):
Y 0.7500 0.5867 0.4133
Ac 0.7500 0.2322 0.7678
Pm 0.0000 0.3333 0.3333
Ac 0.2500 0.2322 0.0000
Y 0.2500 0.5867 0.0000
Ac 0.2500 0.0000 0.7678
Ac 0.7500 0.0000 0.2322
Ac 0.7500 0.7678 0.0000
Y 0.2500 0.4133 0.5867
Pm 0.5000 0.3333 0.3333
Pm 0.0000 0.6667 0.6667
Pm 0.5000 0.6667 0.6667
Ac 0.2500 0.7678 0.2322
Y 0.7500 0.0000 0.5867
Y 0.7500 0.4133 0.0000
Y 0.2500 0.0000 0.4133

---

An optimized crystal structure of ScCd2AgIr. Source: the Alexandria database, functional PBE.

Output
Final energy = -2.366 eV per atom
ΔE_f = 1.61 eV per atom
Energy above the lowest structure with this stoichiometry = 70.52 kJ per mole of atoms

a b c (Å): 5.2224 4.9194 5.2224
angles (deg): 90.00 90.00 90.00
Atoms (fractional coordinates):
Ir 0.5000 0.5000 0.5000
Sc 0.0000 0.0000 0.0000
Cd 0.5000 0.0000 0.0000
Ag 0.0000 0.5000 0.0000
Cd 0.0000 0.0000 0.5000

---

Number 1: total magnetization 0.00 μB per cell. Number 2: total magnetization 0.00 μB per cell. Number 3: total magnetization 0.00 μB per cell. Number 4: total magnetization 4.08 μB per cell. Number 5: total magnetization 3.87 μB per cell. Number 6: total magnetization 0.00 μB per cell. Number 7: total magnetization 0.00 μB per cell. Number 8: total magnetization 0.00 μB per cell.